TbPuZn17, optimized geometry, DFT GGA-PBE; ΔH_f (0 K) = -190 meV/atom; density of states at the Fermi level = 0.79 states/eV per atom; total DFT energy (no corrections) = -44.22 eV for the cell shown
1.0
6.7541 0.0334 0.8342
0.7415 6.7134 0.8342
0.0371 0.0334 6.8053
Tb Pu Zn
1 1 17
direct
0.6652 0.6652 0.6652 Tb
0.3351 0.3351 0.3351 Pu
0.2966 0.9998 0.7037 Zn
0.7037 0.2966 0.9998 Zn
0.9998 0.7037 0.2966 Zn
0.2966 0.7037 0.9998 Zn
0.9998 0.2966 0.7037 Zn
0.7037 0.9998 0.2966 Zn
0.3526 0.8396 0.3526 Zn
0.3526 0.3526 0.8396 Zn
0.8396 0.3526 0.3526 Zn
0.6458 0.1623 0.6458 Zn
0.6458 0.6458 0.1623 Zn
0.1623 0.6458 0.6458 Zn
0.0006 0.4996 0.0006 Zn
0.0006 0.0006 0.4996 Zn
0.4996 0.0006 0.0006 Zn
0.9003 0.9003 0.9003 Zn
0.0997 0.0997 0.0997 Zn